(1)
Y2Zn2F after structural relaxation. Source: Alexandria via LeMat-Bulk, functional PBE-GGA.

Cell: 7.9350 7.9350 3.5910 Å, 90.00 90.00 90.00°
Closest atoms and distances in Å follow each position.
Fractional positions:
Zn 0.8909 0.6091 0.0000  1 Zn 2.45
Y 0.1858 0.6858 0.5000  6 Zn 2.92-3.01
F 0.5000 0.5000 0.0000  4 Zn 3.22, 8 Y 3.41, 2 F 3.59
Y 0.3142 0.1858 0.5000  6 Zn 2.92-3.01
Zn 0.6091 0.1091 0.0000  1 Zn 2.45
Y 0.6858 0.8142 0.5000  6 Zn 2.92-3.01
F 0.0000 0.0000 0.0000  4 Zn 3.22, 8 Y 3.41, 2 F 3.59
Zn 0.3909 0.8909 0.0000  1 Zn 2.45
Y 0.8142 0.3142 0.5000  6 Zn 2.92-3.01
Zn 0.1091 0.3909 0.0000  1 Zn 2.45

Computed properties:
The total magnetization is 0.0 μB/cell. The uncorrected formation energy comes out at -0.58 eV/atom. The density of states at the Fermi level is 0.438 states/eV per atom. Its energy above the most stable polymorph in this dataset is 0.489 eV per atom. For the total energy, the calculation gives -4.054 eV per atom.


(2)
YZnF2 after structural relaxation. Source: Alexandria via LeMat-Bulk, functional PBE-GGA.

Cell: 4.4166 4.4166 4.4166 Å, 60.00 60.00 60.00°
Closest atoms and distances in Å follow each position.
Fractional positions:
Y 0.5000 0.5000 0.5000  8 F 2.70
F 0.7500 0.7500 0.7500  4 Y 2.70, 4 Zn 2.70
F 0.2500 0.2500 0.2500  4 Y 2.70, 4 Zn 2.70
Zn 0.0000 0.0000 0.0000  8 F 2.70

Computed properties:
The total magnetization is 0.8 μB/cell. The uncorrected formation energy comes out at -1.85 eV/atom. The density of states at the Fermi level is 0.618 states/eV per atom. Its energy above the most stable polymorph in this dataset is 0.325 eV per atom. For the total energy, the calculation gives -4.723 eV per atom.


(3)
YZnF2 after structural relaxation. Source: Alexandria via LeMat-Bulk, functional PBE-GGA.

Cell: 9.3536 9.3536 9.3536 Å, 20.71 20.71 20.71°
Closest atoms and distances in Å follow each position.
Fractional positions:
Zn 0.0000 0.0000 0.0000  2 F 3.25, 6 Zn 3.36
Y 0.5000 0.5000 0.5000  6 F 2.35
F 0.1182 0.1182 0.1182  3 Y 2.35
F 0.8818 0.8818 0.8818  3 Y 2.35

Computed properties:
The total magnetization is 0.8 μB/cell. The uncorrected formation energy comes out at -2.13 eV/atom. The density of states at the Fermi level is 0.403 states/eV per atom. Its energy above the most stable polymorph in this dataset is 0.049 eV per atom. For the total energy, the calculation gives -4.998 eV per atom.


(4)
YZnF2 after structural relaxation. Source: Alexandria via LeMat-Bulk, functional PBE-GGA.

Cell: 7.5750 7.5750 7.5750 Å, 27.40 27.40 27.40°
Closest atoms and distances in Å follow each position.
Fractional positions:
Zn 0.5000 0.5000 0.5000  6 F 2.55
F 0.9013 0.9013 0.9013  1 Y 2.16
F 0.0987 0.0987 0.0987  1 Y 2.16
Y 0.0000 0.0000 0.0000  2 F 2.16

Computed properties:
The total magnetization is 0.0 μB/cell. The uncorrected formation energy comes out at -1.72 eV/atom. The density of states at the Fermi level is 0.216 states/eV per atom. Its energy above the most stable polymorph in this dataset is 0.459 eV per atom. For the total energy, the calculation gives -4.589 eV per atom.


(5)
Y2ZnF after structural relaxation. Source: Alexandria via LeMat-Bulk, functional PBE-GGA.

Cell: 5.7795 5.7795 7.2655 Å, 66.56 66.56 90.00°
Closest atoms and distances in Å follow each position.
Fractional positions:
Y 0.5583 0.1250 0.2500  2 F 2.34
F 0.5000 0.5000 0.0000  4 Y 2.34
Zn 0.7500 0.2500 0.5000  4 Y 2.77
Y 0.3750 0.4417 0.7500  2 F 2.34
Y 0.8750 0.8083 0.7500  2 F 2.34
F 0.2500 0.7500 0.5000  4 Y 2.34
Zn 0.0000 0.0000 0.0000  4 Y 2.77
Y 0.1917 0.6250 0.2500  2 F 2.34

Computed properties:
The total magnetization is 0.0 μB/cell. The uncorrected formation energy comes out at -1.07 eV/atom. The density of states at the Fermi level is 0.671 states/eV per atom. Its energy above the most stable polymorph in this dataset is 0.000 eV per atom. For the total energy, the calculation gives -5.092 eV per atom.


(6)
YZn3F after structural relaxation. Source: Alexandria via LeMat-Bulk, functional PBE-GGA.

Cell: 4.5850 4.5850 4.5850 Å, 90.00 90.00 90.00°
Closest atoms and distances in Å follow each position.
Fractional positions:
Zn 0.5000 0.0000 0.0000  2 F 2.29
F 0.0000 0.0000 0.0000  6 Zn 2.29
Zn 0.0000 0.0000 0.5000  2 F 2.29
Y 0.5000 0.5000 0.5000  12 Zn 3.24
Zn 0.0000 0.5000 0.0000  2 F 2.29

Computed properties:
The total magnetization is 0.0 μB/cell. The uncorrected formation energy comes out at -0.44 eV/atom. The density of states at the Fermi level is 0.486 states/eV per atom. Its energy above the most stable polymorph in this dataset is 0.000 eV per atom. For the total energy, the calculation gives -2.875 eV per atom.


(7)
Y2Zn2F after structural relaxation. Source: Alexandria via LeMat-Bulk, functional PBE-GGA.

Cell: 5.7055 5.7055 5.4292 Å, 58.30 58.30 90.00°
Closest atoms and distances in Å follow each position.
Fractional positions:
Y 0.2500 0.7500 0.5000  4 Zn 2.93
Zn 0.6573 0.6573 0.6853  1 Zn 2.29, 1 F 2.49
Zn 0.3427 0.3427 0.3147  1 Zn 2.29, 1 F 2.49
Y 0.7500 0.2500 0.5000  4 Zn 2.93
F 0.0000 0.0000 0.0000  2 Zn 2.49

Computed properties:
The total magnetization is 0.9 μB/cell. The uncorrected formation energy comes out at -0.36 eV/atom. The density of states at the Fermi level is 0.680 states/eV per atom. Its energy above the most stable polymorph in this dataset is 0.708 eV per atom. For the total energy, the calculation gives -3.834 eV per atom.


(8)
YZnF2 after structural relaxation. Source: Alexandria via LeMat-Bulk, functional PBE-GGA.

Cell: 4.4135 4.4135 7.9400 Å, 73.86 73.86 90.00°
Closest atoms and distances in Å follow each position.
Fractional positions:
Y 0.0000 0.0000 0.0000  4 F 2.22
F 0.7344 0.1250 0.2500  2 Y 2.22
Zn 0.5000 0.5000 0.0000  4 F 2.66
Y 0.7500 0.2500 0.5000  4 F 2.22
Zn 0.2500 0.7500 0.5000  4 F 2.66
F 0.3750 0.2656 0.7500  2 Y 2.22
F 0.0156 0.6250 0.2500  2 Y 2.22
F 0.8750 0.9844 0.7500  2 Y 2.22

Computed properties:
The total magnetization is 0.0 μB/cell. The uncorrected formation energy comes out at -2.18 eV/atom. The density of states at the Fermi level is 0.422 states/eV per atom. Its energy above the most stable polymorph in this dataset is 0.000 eV per atom. For the total energy, the calculation gives -5.047 eV per atom.


- Look up the total magnetization of the sixth one.
  0.0 μB/cell


- Look up the uncorrected formation energy of the seventh one.
  -0.36 eV/atom


- What is the total magnetization in the fifth record?
  0.0 μB/cell